Below is a relaxed structure of Li6NiO4, with properties calculated at the PBE with a Hubbard U level.

abc: 6.600 6.600 4.662
angles: 90.00 90.00 90.00
Space group P4_2mc (No. 105)
Asymmetric unit:
Li (0.000, 0.000, 0.000)
Li (0.217, 0.280, 0.054)
Li (0.500, 0.500, 0.101)
Ni (0.000, 0.500, 0.559)
O (0.000, 0.234, 0.761)
O (0.261, 0.500, 0.340)

Properties
Size of the total moment: 4.0 μB per cell
VASP energy: -52.260 eV per formula unit
Fermi-level density of states: 0.000 states/eV per atom

=====

Below is a relaxed structure of LiNiO2, with properties calculated at the PBE with a Hubbard U level.

abc: 2.693 3.298 10.114
angles: 90.00 90.00 90.00
Space group Imm2 (No. 44)
Asymmetric unit:
Li (0.000, 0.000, 0.000)
Ni (0.000, 0.000, 0.264)
O (0.000, 0.500, 0.641)
O (0.000, 0.500, 0.888)

Properties
Size of the total moment: 2.0 μB per cell
VASP energy: -18.801 eV per formula unit

=====

Below is a relaxed structure of LiNiO2, with properties calculated at the PBE with a Hubbard U level.

abc: 2.9304 2.9304 16.6393
angles: 90.00 90.00 120.00
Space group R-3m (No. 166, hexagonal axes)
Asymmetric unit:
Li (0.0000, 0.0000, 0.0000)
Ni (0.0000, 0.0000, 0.5000)
O (0.0000, 0.0000, 0.1055)

Properties
Size of the total moment: 3.0 μB per cell
VASP energy: -18.509 eV per formula unit
Fermi-level density of states: 0.276 states/eV per atom

=====

Below is a relaxed structure of LiNiO2, with properties calculated at the PBE with a Hubbard U level.

abc: 4.036 4.036 8.455
angles: 90.00 90.00 90.00
Space group I4_1/amd (No. 141, origin choice 2)
Asymmetric unit:
Li (0.000, 0.250, 0.375)
Ni (0.000, 0.250, 0.875)
O (0.000, 0.250, 0.103)

Properties
Size of the total moment: 4.0 μB per cell
VASP energy: -19.404 eV per formula unit
Fermi-level density of states: 0.186 states/eV per atom

=====

Below is a relaxed structure of Li8Ni5O10, with properties calculated at the PBE with a Hubbard U level.

abc: 5.323 5.912 7.946
angles: 69.48 89.91 63.49
Space group P-1 (No. 2)
Asymmetric unit:
Li (0.007, 0.207, 0.178)
Li (0.188, 0.788, 0.570)
Li (0.375, 0.388, 0.000)
Li (0.448, 0.970, 0.641)
Ni (0.000, 0.500, 0.500)
Ni (0.192, 0.111, 0.896)
Ni (0.397, 0.691, 0.293)
O (0.033, 0.106, 0.655)
O (0.184, 0.480, 0.752)
O (0.227, 0.725, 0.048)
O (0.383, 0.058, 0.144)
O (0.432, 0.315, 0.467)

Properties
Size of the total moment: 8.0 μB per cell
VASP energy: -109.847 eV per formula unit
Fermi-level density of states: 0.405 states/eV per atom

=====

Below is a relaxed structure of Li3NiO3, with properties calculated at the PBE with a Hubbard U level.

abc: 8.809 8.842 3.596
angles: 90.00 90.00 90.00
Space group Pnnm (No. 58)
Asymmetric unit:
Li (0.103, 0.143, 0.000)
Li (0.139, 0.897, 0.500)
Li (0.168, 0.331, 0.500)
Ni (0.114, 0.611, 0.000)
O (0.103, 0.402, 0.000)
O (0.112, 0.816, 0.000)
O (0.175, 0.111, 0.500)

Properties
Size of the total moment: 3.9 μB per cell
VASP energy: -33.606 eV per formula unit

=====

Below is a relaxed structure of Li3NiO3, with properties calculated at the PBE with a Hubbard U level.

abc: 10.099 2.789 10.119
angles: 90.00 111.89 90.00
Space group C2/m (No. 12)
Asymmetric unit:
Li (0.077, 0.000, 0.210)
Li (0.145, 0.500, 0.964)
Li (0.147, 0.500, 0.423)
Ni (0.182, 0.000, 0.744)
O (0.035, 0.500, 0.753)
O (0.192, 0.000, 0.102)
O (0.236, 0.500, 0.627)

Properties
Size of the total moment: 12.0 μB per cell
VASP energy: -32.592 eV per formula unit

=====

Below is a relaxed structure of LiNiO2, with properties calculated at the PBE with a Hubbard U level.

abc: 2.784 5.153 9.704
angles: 90.00 90.00 90.00
Space group Cmc2_1 (No. 36)
Asymmetric unit:
Li (0.000, 0.141, 0.000)
Ni (0.000, 0.173, 0.743)
O (0.000, 0.187, 0.355)
O (0.000, 0.467, 0.130)

Properties
Size of the total moment: 4.0 μB per cell
VASP energy: -19.423 eV per formula unit
Fermi-level density of states: 0.002 states/eV per atom

=====

Repeat the eighth record exactly.
Below is a relaxed structure of LiNiO2, with properties calculated at the PBE with a Hubbard U level.

abc: 2.784 5.153 9.704
angles: 90.00 90.00 90.00
Space group Cmc2_1 (No. 36)
Asymmetric unit:
Li (0.000, 0.141, 0.000)
Ni (0.000, 0.173, 0.743)
O (0.000, 0.187, 0.355)
O (0.000, 0.467, 0.130)

Properties
Size of the total moment: 4.0 μB per cell
VASP energy: -19.423 eV per formula unit
Fermi-level density of states: 0.002 states/eV per atom

=====

- Which formula does entry 4 have?
  LiNiO2

=====

- Which value of VASP energy does entry 8 give?
  -19.423 eV per formula unit